# 1
PBE U3NiAg3Te8, optimized geometry; Fermi-level density of states = 1.31 states/eV per atom; density = 7.771 g/cm3; energy = -5.1425 eV/atom
1.0
4.307 2.487 7.040
-4.307 2.487 7.040
0.000 -4.973 7.040
U Ni Ag Te
3 1 3 8
Cartesian
-2.153 -1.243 7.040 U
-2.153 1.243 14.080 U
0.000 2.487 7.040 U
0.000 0.000 0.000 Ni
-4.307 0.000 10.560 Ag
-2.153 1.243 3.520 Ag
2.153 1.243 3.520 Ag
-2.357 -1.361 12.443 Te
0.000 -2.722 8.677 Te
-2.357 1.361 8.677 Te
0.000 0.000 5.227 Te
0.000 0.000 15.893 Te
2.357 -1.361 12.443 Te
0.000 2.722 12.443 Te
2.357 1.361 8.677 Te

---

# 2
PBE PrLuAg, optimized geometry; Fermi-level density of states = 1.15 states/eV per atom; energy above the lowest structure with this stoichiometry = 132 meV per atom; E_form = -3.92 kJ/mol of atoms; density = 8.282 g/cm3
1.0
5.038 0.000 0.000
-2.519 4.363 0.000
0.000 0.000 3.865
Pr Lu Ag
1 1 1
Cartesian
0.000 0.000 0.000 Pr
0.000 2.909 1.955 Lu
2.519 1.454 1.799 Ag

---

# 3
PBE Dy2In4Hg, optimized geometry; Fermi-level density of states = 0.66 states/eV per atom; E_form = -27.11 kJ/mol of atoms; density = 8.608 g/cm3
1.0
4.508 -4.643 0.000
4.508 4.643 0.000
0.000 0.000 4.538
Dy In Hg
2 4 1
Cartesian
2.234 0.000 0.000 Dy
6.783 0.000 0.000 Dy
2.254 2.322 2.269 In
4.508 2.190 0.000 In
2.254 -2.322 2.269 In
4.508 -2.190 0.000 In
0.000 0.000 2.269 Hg

---

# 4
PBE Ba3Pb4Au4, optimized geometry; Fermi-level density of states = 0.68 states/eV per atom; E_form = -49.70 kJ/mol of atoms; density = 9.681 g/cm3
1.0
4.633 0.000 0.000
0.002 4.936 0.000
2.306 2.460 15.215
Ba Pb Au
3 4 4
Cartesian
0.000 0.000 0.000 Ba
2.313 4.938 10.780 Ba
4.628 2.458 4.435 Ba
2.309 2.461 7.516 Pb
2.318 4.923 2.885 Pb
4.624 2.473 12.330 Pb
4.632 4.935 7.699 Pb
2.316 4.927 5.745 Au
2.313 2.456 1.403 Au
4.628 4.940 13.812 Au
4.625 2.470 9.470 Au

---

# 5
PBE SbPOsCl2, optimized geometry; Fermi-level density of states = 0.90 states/eV per atom; energy above the lowest structure with this stoichiometry = 0 meV per atom; density = 6.379 g/cm3
1.0
4.835 0.000 0.000
0.000 4.835 0.000
0.000 0.000 4.609
Sb P Os Cl
1 1 1 2
Cartesian
0.000 0.000 0.000 Sb
2.417 2.417 0.000 P
2.417 2.417 2.304 Os
0.000 2.417 2.304 Cl
2.417 0.000 2.304 Cl